The following is a GGA-PBE calculation of a geometry-optimized GdHo2Mg3Al2Hg structure, from the Open Quantum Materials Database.

Cell lengths 4.5185, 7.4173, 7.4173 Å; angles 120.32, 90.00, 90.00 degrees
Atoms (fractional coordinates):
Gd 0.0000 0.0000 0.0000
Ho 0.0000 0.1487 0.5742
Ho 0.0000 0.5742 0.1487
Mg 0.5000 0.3300 0.3300
Mg 0.5000 0.5734 0.8180
Mg 0.5000 0.8180 0.5734
Al 0.5000 0.2420 0.9067
Al 0.5000 0.9067 0.2420
Hg 0.0000 0.5716 0.5716

Output
- Symmetry: Amm2 (38)
- Electronic total energy: -3.280 eV per atom
- Spin magnetization: 0.0 μB/cell